[1]
A relaxed Li2CuRh crystal. Source: the Alexandria database, functional PBE.

## Properties
Formation enthalpy at 0 K   -0.129 eV/atom
ΔE to the lowest computed polymorph   0.0000 eV/atom
Total moment   0.000 μB/atom
DOS at the Fermi energy   0.94 states/eV/f.u.
Volume   12.9 A^3/atom
Crystal system   orthorhombic

Cell: 3.0548 4.1014 4.1285 Å, 90.00 90.00 90.00°
Space group Pmmm (No. 47)
Symmetry-distinct sites (fractional):
1 Li 0.0000 0.0000 0.0000 [1 per cell]
2 Li 0.5000 0.0000 0.5000 [1 per cell]
3 Cu 0.0000 0.5000 0.5000 [1 per cell]
4 Rh 0.5000 0.5000 0.0000 [1 per cell]

[2]
A relaxed SrTmTe3Au crystal. Source: the Alexandria database, functional PBE.

## Properties
Total moment   0.000 μB/atom
Volume   31.1 A^3/atom
Crystal system   monoclinic
Uncorrected energy   -4.3151 eV per atom

Cell: 8.5789 4.3608 10.3064 Å, 90.00 104.21 90.00°
Space group P2_1/m (No. 11)
Symmetry-distinct sites (fractional):
1 Sr 0.2099 0.2500 0.2767 [2 per cell]
2 Tm 0.3177 0.7500 0.8311 [2 per cell]
3 Te 0.0800 0.2500 0.8619 [2 per cell]
4 Te 0.2773 0.7500 0.5322 [2 per cell]
5 Te 0.4255 0.7500 0.1430 [2 per cell]
6 Au 0.0875 0.2500 0.5927 [2 per cell]

[3]
A relaxed K3Tl2In9 crystal. Source: the Alexandria database, functional PBE.

## Properties
Formation enthalpy at 0 K   -0.099 eV/atom
Total moment   0.000 μB/atom
DOS at the Fermi energy   7.15 states/eV/f.u.
Volume   31.3 A^3/atom
Crystal system   orthorhombic

Cell: 5.1500 11.2577 15.1305 Å, 90.00 90.00 90.00°
Space group Immm (No. 71)
Symmetry-distinct sites (fractional):
1 K 0.0000 0.0000 0.0000 [2 per cell]
2 K 0.0000 0.0000 0.3015 [4 per cell]
3 Tl 0.0000 0.1829 0.5000 [4 per cell]
4 In 0.0000 0.2761 0.1483 [8 per cell]
5 In 0.0000 0.3674 0.3388 [8 per cell]
6 In 0.0000 0.5000 0.0000 [2 per cell]

[4]
A relaxed TlReSi2 crystal. Source: the Alexandria database, functional PBE.

## Properties
ΔE to the lowest computed polymorph   0.3876 eV/atom
Total moment   0.000 μB/atom
DOS at the Fermi energy   1.31 states/eV/f.u.
Volume   18.0 A^3/atom
Crystal system   trigonal

Cell: 2.9770 2.9770 28.0738 Å, 90.00 90.00 120.00°
Space group R3m (No. 160, hexagonal axes)
Symmetry-distinct sites (fractional):
1 Tl 0.0000 0.0000 0.0000 [3 per cell]
2 Re 0.0000 0.0000 0.7603 [3 per cell]
3 Si 0.0000 0.0000 0.2287 [3 per cell]
4 Si 0.0000 0.0000 0.4904 [3 per cell]

[5]
A relaxed Mo3Au crystal. Source: the Alexandria database, functional PBE.

## Properties
Formation enthalpy at 0 K   0.223 eV/atom
Total moment   0.000 μB/atom
DOS at the Fermi energy   3.92 states/eV/f.u.
Volume   16.3 A^3/atom
Crystal system   monoclinic

Cell: 2.7023 4.3281 5.6397 Å, 90.00 97.73 90.00°
Space group P2/m (No. 10)
Symmetry-distinct sites (fractional):
1 Mo 0.0000 0.0000 0.0000 [1 per cell]
2 Mo 0.4284 0.5000 0.2345 [2 per cell]
3 Au 0.0000 0.0000 0.5000 [1 per cell]

[6]
A relaxed RbNaCa2Cu crystal. Source: the Alexandria database, functional PBE.

## Properties
Formation enthalpy at 0 K   0.135 eV/atom
Total moment   0.000 μB/atom
DOS at the Fermi energy   3.54 states/eV/f.u.
Volume   40.9 A^3/atom
Crystal system   tetragonal

Cell: 5.7672 5.7672 6.1497 Å, 90.00 90.00 90.00°
Space group P4/mmm (No. 123)
Symmetry-distinct sites (fractional):
1 Rb 0.0000 0.0000 0.0000 [1 per cell]
2 Na 0.5000 0.5000 0.0000 [1 per cell]
3 Ca 0.0000 0.5000 0.5000 [2 per cell]
4 Cu 0.5000 0.5000 0.5000 [1 per cell]